First-principles (PBE+U) data for a geometry-optimized MgMoAs2O8 structure, as listed in the Alexandria database.

a = 6.793 Å, b = 6.793 Å, c = 6.159 Å
α = 90.00°, β = 90.00°, γ = 90.00°
Space group I-4m2 (No. 119)
One atom of each set of equivalent atoms:
Mg 0.000 0.000 0.000
Mo 0.000 0.500 0.250
As 0.000 0.000 0.500
As 0.000 0.500 0.750
O 0.000 0.190 0.317
O 0.000 0.313 0.941

**Raw total energy**: -150.54 eV for the cell shown
**Crystal system**: tetragonal